Pr5Ga2Au2, relaxed, DFT PBE; formation enthalpy at 0 K = -582 meV/atom; E = -0.1705 Ha/atom; space group = Cmce; N(E_F) = 20.85 states/eV per cell
1.0
-7.430 1.672 -2.155
-1.998 -7.516 1.055
-5.625 2.444 6.754
Pr Au Ga
10 4 4
Direct
0.681 0.328 0.280 Pr
0.500 0.500 0.000 Pr
0.961 0.328 0.720 Pr
0.819 0.828 0.720 Pr
0.319 0.672 0.720 Pr
0.039 0.672 0.280 Pr
0.181 0.172 0.280 Pr
0.461 0.172 0.720 Pr
0.000 0.000 0.000 Pr
0.539 0.828 0.280 Pr
0.208 0.000 0.584 Au
0.792 0.000 0.416 Au
0.292 0.500 0.416 Au
0.708 0.500 0.584 Au
0.883 0.616 0.000 Ga
0.117 0.384 0.000 Ga
0.617 0.116 0.000 Ga
0.383 0.884 0.000 Ga